[1]
## OsPb2Br (PBE-GGA)

Data for an optimized crystal structure of OsPb2Br.

Lattice parameters (Å, degrees): 6.652 6.652 13.210 90.00 90.00 90.00
Space group I-42d (No. 122)
Symmetry-distinct sites (fractional):
Os (0.000, 0.000, 0.000) [4 per cell]
Pb (0.172, 0.250, 0.125) [8 per cell]
Br (0.000, 0.000, 0.500) [4 per cell]

E_form (uncorrected) = 658 meV/atom
Relative energy among the computed polymorphs = 257.9 meV/atom

***

[2]
## CsScS2N (PBE-GGA)

Data for an optimized crystal structure of CsScS2N.

Lattice parameters (Å, degrees): 5.517 5.517 4.335 90.00 90.00 90.00
Space group P4/mmm (No. 123)
Symmetry-distinct sites (fractional):
Cs (0.000, 0.000, 0.000) [1 per cell]
Sc (0.500, 0.500, 0.500) [1 per cell]
S (0.000, 0.500, 0.000) [2 per cell]
N (0.000, 0.000, 0.500) [1 per cell]

E_form (uncorrected) = 1378 meV/atom
Relative energy among the computed polymorphs = 1804.3 meV/atom

***

[3]
## NaHgTe2 (PBE-GGA)

Data for an optimized crystal structure of NaHgTe2.

Lattice parameters (Å, degrees): 4.1996 4.1996 24.1882 90.00 90.00 120.00
Space group R3m (No. 160, hexagonal axes)
Symmetry-distinct sites (fractional):
Na (0.0000, 0.0000, 0.0000) [3 per cell]
Hg (0.0000, 0.0000, 0.8336) [3 per cell]
Te (0.0000, 0.0000, 0.2410) [3 per cell]
Te (0.0000, 0.0000, 0.4265) [3 per cell]

E_form (uncorrected) = -224 meV/atom

***

[4]
## La4BiRu (PBE-GGA)

Data for an optimized crystal structure of La4BiRu.

Lattice parameters (Å, degrees): 6.478 7.040 8.603 90.00 94.43 90.00
Space group P2_1/m (No. 11)
Symmetry-distinct sites (fractional):
La (0.092, 0.250, 0.081) [2 per cell]
La (0.165, 0.750, 0.378) [2 per cell]
La (0.396, 0.506, 0.790) [4 per cell]
Bi (0.293, 0.250, 0.453) [2 per cell]
Ru (0.313, 0.750, 0.078) [2 per cell]

Energy of formation from the pure elements = -483 meV per atom
Relative energy among the computed polymorphs = 0.0 meV/atom